No. 1
A relaxed Ac3Sb2Rh9Pb crystal, computed with PBE-GGA.

Properties
Energy = -6.305 eV/atom
Total magnetic moment = 0.0 μB per cell
Crystal system = trigonal
E_form (uncorrected) = -275 meV per atom

Unit cell a=6.671 b=6.671 c=9.628 alpha=90.00 beta=90.00 gamma=120.00
Element x y z (fractional)
Rh 0.867 0.734 0.735
Rh 0.500 0.000 0.000
Ac 0.000 0.000 0.000
Pb 0.000 0.000 0.500
Ac 0.667 0.333 0.264
Rh 0.500 0.500 0.000
Ac 0.333 0.667 0.736
Rh 0.266 0.133 0.735
Rh 0.867 0.133 0.735
Rh 0.133 0.867 0.265
Rh 0.734 0.867 0.265
Rh 0.000 0.500 0.000
Sb 0.333 0.667 0.180
Rh 0.133 0.266 0.265
Sb 0.667 0.333 0.820

No. 2
A relaxed TePtAu crystal, computed with PBE-GGA.

Properties
Polymorph energy (0 for the lowest one) = 10.43 kJ/mol of atoms
Energy = -4.115 eV/atom
Total magnetic moment = 0.0 μB per cell
Crystal system = monoclinic
E_form (uncorrected) = 38 meV per atom

Unit cell a=5.716 b=5.579 c=5.579 alpha=64.40 beta=59.73 gamma=59.73
Element x y z (fractional)
Te 0.461 0.268 0.455
Pt 0.961 0.268 0.955
Au 0.211 0.870 0.353
Pt 0.461 0.268 0.955
Au 0.710 0.666 0.557
Te 0.961 0.768 0.955

No. 3
A relaxed MgIrBr3 crystal, computed with PBE-GGA.

Properties
Polymorph energy (0 for the lowest one) = 0.00 kJ/mol of atoms
Energy = -3.038 eV/atom
Total magnetic moment = 0.0 μB per cell
Crystal system = cubic
E_form (uncorrected) = 57 meV per atom

Unit cell a=5.105 b=5.105 c=5.105 alpha=90.00 beta=90.00 gamma=90.00
Element x y z (fractional)
Br 0.000 0.000 0.500
Br 0.000 0.500 0.000
Br 0.500 0.000 0.000
Ir 0.000 0.000 0.000
Mg 0.500 0.500 0.500

No. 4
A relaxed PmInSnPd crystal, computed with PBE-GGA.

Properties
Energy = -4.656 eV/atom
Total magnetic moment = 0.0 μB per cell
Crystal system = cubic
ΔE_f = -485 meV per atom

Unit cell a=5.104 b=5.104 c=5.104 alpha=60.00 beta=60.00 gamma=60.00
Element x y z (fractional)
Pm 0.750 0.750 0.750
Sn 0.000 0.000 0.000
Pd 0.500 0.500 0.500
In 0.250 0.250 0.250

No. 5
A relaxed Th7Co2Sn crystal, computed with PBE-GGA.

Properties
Energy = -7.022 eV/atom
Total magnetic moment = 0.0 μB per cell
Crystal system = orthorhombic
ΔE_f = -7 meV per atom

Unit cell a=4.913 b=8.242 c=8.242 alpha=113.19 beta=90.00 gamma=90.00
Element x y z (fractional)
Th 0.000 0.283 0.717
Sn 0.000 0.000 0.000
Th 0.500 0.500 0.500
Th 0.500 0.948 0.693
Th 0.500 0.052 0.307
Th 0.000 0.717 0.283
Co 0.500 0.315 0.685
Th 0.500 0.307 0.052
Co 0.500 0.685 0.315
Th 0.500 0.693 0.948

No. 6
A relaxed Rb2NpBiTe4 crystal, computed with PBE-GGA.

Properties
Energy = -4.653 eV/atom
Total magnetic moment = 4.0 μB per cell
Crystal system = monoclinic
E_form (uncorrected) = -738 meV per atom

Unit cell a=4.635 b=8.054 c=8.935 alpha=107.44 beta=90.00 gamma=90.00
Each line ends with the local moment (μB).
Element x y z (fractional)
Te 0.000 0.270 0.800  -0.05
Te 0.000 0.730 0.200  -0.05
Te 0.500 0.764 0.798  -0.02
Te 0.500 0.236 0.202  -0.02
Np 0.500 0.500 0.000  4.01
Rb 0.000 0.500 0.500  0.00
Bi 0.000 0.000 0.000  0.03
Rb 0.500 0.000 0.500  0.00

No. 7
A relaxed KOs2Au crystal, computed with PBE-GGA.

Properties
Polymorph energy (0 for the lowest one) = 0.00 kJ/mol of atoms
Energy = -6.165 eV/atom
Total magnetic moment = 0.0 μB per cell
Crystal system = orthorhombic
ΔE_f = 544 meV per atom

Unit cell a=3.717 b=2.775 c=8.570 alpha=71.11 beta=90.00 gamma=90.00
Element x y z (fractional)
Os 0.000 0.914 0.085
Au 0.000 0.556 0.444
Os 0.500 0.283 0.217
K 0.500 0.747 0.754

No. 8
A relaxed LiTlZn4 crystal, computed with PBE-GGA.

Properties
Energy = -1.583 eV/atom
Total magnetic moment = 0.0 μB per cell
Crystal system = cubic
ΔE_f = -20 meV per atom

Unit cell a=5.341 b=5.341 c=5.341 alpha=60.00 beta=60.00 gamma=60.00
Element x y z (fractional)
Zn 0.376 0.376 0.376
Tl 0.000 0.000 0.000
Li 0.750 0.750 0.750
Zn 0.376 0.376 0.871
Zn 0.871 0.376 0.376
Zn 0.376 0.871 0.376

No. 9
A relaxed Ca6Bi2HN crystal, computed with PBE-GGA.

Properties
Energy = -3.872 eV/atom
Total magnetic moment = 2.0 μB per cell
Crystal system = orthorhombic

Unit cell a=7.099 b=7.099 c=9.969 alpha=90.00 beta=90.00 gamma=90.00
Each line ends with the local moment (μB).
Element x y z (fractional)
Ca 0.260 0.010 0.500  0.05
Ca 0.260 0.490 0.500  0.05
Bi 0.500 0.750 0.250  0.00
Ca 0.000 0.750 0.758  0.06
Ca 0.740 0.490 0.500  0.05
Bi 0.000 0.250 0.250  0.00
H 0.500 0.251 0.000  -0.01
Ca 0.760 0.990 0.000  0.05
Bi 0.000 0.250 0.750  0.00
Ca 0.740 0.010 0.500  0.05
Ca 0.240 0.510 0.000  0.05
Ca 0.000 0.750 0.242  0.06
N 0.500 0.250 0.500  0.01
Ca 0.760 0.510 0.000  0.05
Ca 0.240 0.990 0.000  0.05
Ca 0.500 0.250 0.742  0.06
Bi 0.500 0.750 0.750  0.00
N 0.000 0.750 0.000  0.01
H 0.000 0.749 0.500  -0.01
Ca 0.500 0.250 0.258  0.06

No. 10
A relaxed KCu2PdCl6 crystal, computed with PBE-GGA.

Properties
Energy = -3.322 eV/atom
Total magnetic moment = 2.2 μB per cell
Crystal system = monoclinic
E_form (uncorrected) = -766 meV per atom

Unit cell a=7.113 b=9.806 c=9.806 alpha=70.52 beta=60.90 gamma=60.90
Each line ends with the local moment (μB).
Element x y z (fractional)
Cl 0.219 0.637 0.677  0.06
Cl 0.281 0.323 0.363  0.06
Pd 0.250 0.182 0.818  0.11
Cl 0.127 0.043 0.745  0.03
Cl 0.719 0.677 0.637  0.06
K 0.250 0.653 0.347  0.00
K 0.750 0.347 0.653  0.00
Cl 0.634 0.067 0.641  0.05
Cu 0.863 0.611 0.829  0.32
Cl 0.873 0.957 0.255  0.03
Cl 0.373 0.255 0.957  0.03
Pd 0.750 0.818 0.182  0.11
Cl 0.366 0.933 0.359  0.05
Cu 0.637 0.171 0.389  0.32
Cl 0.866 0.359 0.933  0.05
Cu 0.363 0.829 0.611  0.32
Cu 0.137 0.389 0.171  0.32
Cl 0.134 0.641 0.067  0.05
Cl 0.627 0.745 0.043  0.03
Cl 0.781 0.363 0.323  0.06

No. 11
A relaxed EuAg2Pd crystal, computed with PBE-GGA.

Properties
Polymorph energy (0 for the lowest one) = 0.00 kJ/mol of atoms
Energy = -5.538 eV/atom
Total magnetic moment = 7.0 μB per cell
Crystal system = tetragonal
ΔE_f = -246 meV per atom

Unit cell a=4.730 b=4.192 c=4.192 alpha=90.00 beta=90.00 gamma=90.00
Each line ends with the local moment (μB).
Element x y z (fractional)
Eu 0.500 0.500 0.500  6.78
Ag 0.000 0.000 0.500  0.02
Ag 0.000 0.500 0.000  0.02
Pd 0.500 0.000 0.000  -0.01

No. 12
A relaxed Ba2CaTlSi crystal, computed with PBE-GGA.

Properties
Energy = -2.676 eV/atom
Total magnetic moment = 0.0 μB per cell
Crystal system = tetragonal
E_form (uncorrected) = 51 meV per atom

Unit cell a=6.418 b=5.424 c=6.418 alpha=90.00 beta=90.00 gamma=90.00
Element x y z (fractional)
Tl 0.000 0.500 0.000
Ba 0.500 0.000 0.000
Ba 0.000 0.000 0.500
Ca 0.500 0.500 0.500
Si 0.000 0.000 0.000

No. 13
A relaxed PmSiBPt6 crystal, computed with PBE-GGA.

Properties
Energy = -6.479 eV/atom
Total magnetic moment = 0.0 μB per cell
Crystal system = orthorhombic
E_form (uncorrected) = -579 meV per atom

Unit cell a=7.252 b=8.123 c=7.772 alpha=121.51 beta=117.81 gamma=90.00
Element x y z (fractional)
Pt 0.598 0.359 0.752
B 0.500 0.500 0.000
Pm 0.823 0.573 0.646
Pt 0.155 0.893 0.752
Pt 0.155 0.359 0.752
Si 0.500 0.000 0.500
Pt 0.115 0.865 0.231
Pt 0.598 0.893 0.752
Pt 0.402 0.107 0.248
Pt 0.845 0.107 0.248
Si 0.000 0.000 0.500
Pt 0.402 0.641 0.248
Pm 0.177 0.427 0.354
B 0.500 0.000 0.000
Pt 0.560 0.310 0.120
Pt 0.440 0.690 0.880
Pt 0.885 0.135 0.769
Pt 0.845 0.641 0.248

No. 14
A relaxed Ac2Sm15Ho2 crystal, computed with PBE-GGA.

Properties
Energy = -4.354 eV/atom
Total magnetic moment = 0.0 μB per cell
Crystal system = trigonal
ΔE_f = 286 meV per atom

Unit cell a=8.911 b=8.911 c=8.911 alpha=79.23 beta=79.23 gamma=79.23
Element x y z (fractional)
Ac 0.893 0.893 0.893
Sm 0.694 0.306 0.000
Sm 0.306 0.694 0.000
Sm 0.306 0.000 0.694
Sm 0.000 0.500 0.000
Sm 0.377 0.377 0.841
Sm 0.841 0.377 0.377
Sm 0.500 0.000 0.000
Ac 0.107 0.107 0.107
Sm 0.000 0.000 0.500
Sm 0.000 0.306 0.694
Sm 0.000 0.694 0.306
Sm 0.377 0.841 0.377
Ho 0.325 0.325 0.325
Ho 0.675 0.675 0.675
Sm 0.623 0.159 0.623
Sm 0.694 0.000 0.306
Sm 0.159 0.623 0.623
Sm 0.623 0.623 0.159

No. 15
A relaxed PuTlI2 crystal, computed with PBE-GGA.

Properties
Polymorph energy (0 for the lowest one) = 0.00 kJ/mol of atoms
Energy = -5.606 eV/atom
Total magnetic moment = 6.2 μB per cell
Crystal system = trigonal
E_form (uncorrected) = -656 meV per atom

Unit cell a=4.023 b=4.023 c=11.568 alpha=79.99 beta=79.99 gamma=60.00
Each line ends with the local moment (μB).
Element x y z (fractional)
I 0.896 0.896 0.312  -0.05
Pu 0.500 0.500 0.500  5.69
Tl 0.000 0.000 0.000  0.00
I 0.104 0.104 0.688  -0.05

No. 16
A relaxed SmAs2Pd8 crystal, computed with PBE-GGA.

Properties
Energy = -5.250 eV/atom
Total magnetic moment = 0.0 μB per cell
Crystal system = tetragonal
ΔE_f = -199 meV per atom

Unit cell a=5.627 b=5.627 c=7.185 alpha=90.00 beta=90.00 gamma=90.00
Element x y z (fractional)
As 0.500 0.000 0.000
Pd 0.245 0.245 0.787
Pd 0.245 0.245 0.213
As 0.000 0.500 0.000
Pd 0.245 0.755 0.787
Sm 0.500 0.500 0.500
Pd 0.755 0.755 0.787
Pd 0.755 0.245 0.213
Pd 0.755 0.755 0.213
Pd 0.245 0.755 0.213
Pd 0.755 0.245 0.787

No. 17
A relaxed NaGe2Mo crystal, computed with PBE-GGA.

Properties
Polymorph energy (0 for the lowest one) = 22.56 kJ/mol of atoms
Energy = -4.964 eV/atom
Total magnetic moment = 1.2 μB per cell
Crystal system = cubic
ΔE_f = 382 meV per atom

Unit cell a=4.609 b=4.609 c=4.609 alpha=60.00 beta=60.00 gamma=60.00
Each line ends with the local moment (μB).
Element x y z (fractional)
Ge 0.750 0.750 0.750  -0.04
Mo 0.500 0.500 0.500  1.10
Na 0.000 0.000 0.000  0.00
Ge 0.250 0.250 0.250  -0.04

No. 18
A relaxed Tc2AsSe crystal, computed with PBE-GGA.

Properties
Polymorph energy (0 for the lowest one) = 56.23 kJ/mol of atoms
Energy = -6.732 eV/atom
Total magnetic moment = 0.0 μB per cell
Crystal system = orthorhombic
E_form (uncorrected) = 484 meV per atom

Unit cell a=5.046 b=5.046 c=5.046 alpha=144.28 beta=118.36 gamma=73.33
Element x y z (fractional)
Tc 0.013 0.013 0.000
Tc 0.487 0.487 0.000
Se 0.750 0.250 0.500
As 0.250 0.750 0.500

No. 19
A relaxed NaY3H crystal, computed with PBE-GGA.

Properties
Polymorph energy (0 for the lowest one) = 0.00 kJ/mol of atoms
Energy = -4.739 eV/atom
Total magnetic moment = 1.1 μB per cell
Crystal system = cubic

Unit cell a=5.025 b=5.025 c=5.025 alpha=90.00 beta=90.00 gamma=90.00
Each line ends with the local moment (μB).
Element x y z (fractional)
Na 0.500 0.500 0.500  0.00
H 0.000 0.000 0.000  -0.01
Y 0.500 0.000 0.000  0.17
Y 0.000 0.500 0.000  0.24
Y 0.000 0.000 0.500  0.21

No. 20
A relaxed NaHgI3 crystal, computed with PBE-GGA.

Properties
Polymorph energy (0 for the lowest one) = 52.43 kJ/mol of atoms
Energy = -1.373 eV/atom
Total magnetic moment = 2.0 μB per cell
Crystal system = cubic
E_form (uncorrected) = -118 meV per atom

Unit cell a=6.077 b=6.077 c=6.077 alpha=90.00 beta=90.00 gamma=90.00
Each line ends with the local moment (μB).
Element x y z (fractional)
I 0.000 0.000 0.500  0.35
I 0.000 0.500 0.000  0.45
I 0.500 0.000 0.000  0.32
Hg 0.500 0.500 0.500  0.17
Na 0.000 0.000 0.000  0.00

No. 21
A relaxed KZn3N crystal, computed with PBE-GGA.

Properties
Polymorph energy (0 for the lowest one) = 88.38 kJ/mol of atoms
Energy = -1.042 eV/atom
Total magnetic moment = 2.5 μB per cell
Crystal system = cubic
E_form (uncorrected) = 1606 meV per atom

Unit cell a=6.863 b=6.863 c=6.863 alpha=90.00 beta=90.00 gamma=90.00
Each line ends with the local moment (μB).
Element x y z (fractional)
N 0.500 0.500 0.500  1.71
Zn 0.000 0.000 0.500  -0.01
Zn 0.500 0.000 0.000  -0.01
K 0.000 0.000 0.000  -0.01
Zn 0.000 0.500 0.000  -0.01

No. 22
A relaxed PrY12Tm6 crystal, computed with PBE-GGA.

Properties
Polymorph energy (0 for the lowest one) = 0.00 kJ/mol of atoms
Energy = -5.594 eV/atom
Total magnetic moment = 0.0 μB per cell
Crystal system = trigonal
ΔE_f = 152 meV per atom

Unit cell a=8.531 b=8.531 c=8.531 alpha=87.96 beta=87.96 gamma=87.96
Element x y z (fractional)
Y 0.543 0.435 0.776
Y 0.565 0.224 0.457
Y 0.776 0.543 0.435
Y 0.360 0.009 0.204
Y 0.009 0.204 0.360
Y 0.796 0.640 0.991
Y 0.224 0.457 0.565
Tm 0.691 0.256 0.094
Y 0.991 0.796 0.640
Tm 0.094 0.691 0.256
Y 0.435 0.776 0.543
Tm 0.744 0.906 0.309
Y 0.640 0.991 0.796
Pr 0.000 0.000 0.000
Tm 0.256 0.094 0.691
Tm 0.309 0.744 0.906
Tm 0.906 0.309 0.744
Y 0.204 0.360 0.009
Y 0.457 0.565 0.224